A:
{
  "formula": "Er2LuSc",
  "functional": "PBE-GGA",
  "state": "relaxed",
  "lattice_angstrom": [[3.444, 0.000, 0.000], [1.722, 2.983, 0.000], [1.722, 0.994, 11.145]],
  "species": ["Sc", "Lu", "Er", "Er"],
  "fractional_positions": [[0.000, 0.000, 0.000], [0.500, 0.500, 0.500], [0.748, 0.748, 0.757], [0.252, 0.252, 0.243]],
  "total_magnetization_mub_per_fu": 0.00,
  "crystal_system": "trigonal"
}


B:
{
  "formula": "Er2LuSc",
  "functional": "PBE-GGA",
  "state": "relaxed",
  "lattice_angstrom": [[-4.438, 2.295, 2.227], [-4.878, -2.422, -0.508], [-2.377, -2.304, 4.355]],
  "species": ["Sc", "Lu", "Er", "Er"],
  "fractional_positions": [[0.500, 0.500, 0.500], [0.000, 0.000, 0.000], [0.250, 0.250, 0.250], [0.750, 0.750, 0.750]],
  "total_magnetization_mub_per_fu": 0.00,
  "crystal_system": "cubic"
}


On energetic grounds, A is preferred over the next structure by 7.1 kJ/mol of atoms.


A:
{
  "formula": "Er2LuSe",
  "functional": "PBE-GGA",
  "state": "relaxed",
  "lattice_angstrom": [[3.547, 0.000, 0.000], [0.000, 3.547, 0.000], [0.000, 0.000, 8.442]],
  "species": ["Lu", "Se", "Er", "Er"],
  "fractional_positions": [[0.500, 0.500, 0.500], [0.500, 0.500, 0.000], [0.000, 0.000, 0.789], [0.000, 0.000, 0.211]],
  "total_magnetization_mub_per_fu": 0.00,
  "crystal_system": "tetragonal"
}


B:
{
  "formula": "Er2LuSe",
  "functional": "PBE-GGA",
  "state": "relaxed",
  "lattice_angstrom": [[-1.341, 3.347, -0.578], [-3.604, 0.491, -0.330], [-2.376, 2.733, 9.803]],
  "species": ["Lu", "Se", "Er", "Er"],
  "fractional_positions": [[0.000, 0.000, 0.000], [0.500, 0.500, 0.500], [0.107, 0.107, 0.678], [0.893, 0.893, 0.322]],
  "total_magnetization_mub_per_fu": 0.00,
  "crystal_system": "trigonal"
}


On energetic grounds, A is preferred over the next structure by 16.8 kJ/mol of atoms.


A:
{
  "formula": "ErLuSe",
  "functional": "PBE-GGA",
  "state": "relaxed",
  "lattice_angstrom": [[-1.487, -0.851, 3.108], [3.191, -0.863, 1.291], [-0.101, 6.467, -0.303]],
  "species": ["Lu", "Se", "Er"],
  "fractional_positions": [[0.686, 0.686, 0.371], [0.332, 0.332, 0.664], [0.982, 0.982, 0.964]],
  "total_magnetization_mub_per_fu": 0.00,
  "crystal_system": "tetragonal"
}


B:
{
  "formula": "ErLuSe",
  "functional": "PBE-GGA",
  "state": "relaxed",
  "lattice_angstrom": [[3.786, 0.000, 0.000], [-1.893, 3.279, 0.000], [0.000, 0.000, 6.422]],
  "species": ["Lu", "Se", "Er"],
  "fractional_positions": [[0.333, 0.667, 0.616], [0.667, 0.333, 0.335], [0.000, 0.000, 0.049]],
  "total_magnetization_mub_per_fu": 0.24,
  "crystal_system": "trigonal"
}


On energetic grounds, B is preferred over the next structure by 12.6 kJ/mol of atoms.